Entry 1:
A geometry-optimized CaNiRh structure, computed with GGA-PBE.

Calculated values
- energy of formation (eV/atom) = -0.19
- magnetization (μB per cell) = 1.3
- uncorrected energy (eV/atom) = -5.232

Cell: 5.5831 4.0871 10.7427 Å, 90.00 109.61 90.00°
Each line ends with the local moment (μB).
Fractional coordinates of all 12 atoms:
Ca (0.7011, 0.0000, 0.3844)  -0.01
Ca (0.7011, 0.5000, 0.8844)  -0.01
Ca (0.2989, 0.0000, 0.6156)  -0.01
Ca (0.2989, 0.5000, 0.1156)  -0.01
Ni (0.8776, 0.5000, 0.2124)  0.16
Ni (0.1224, 0.0000, 0.2876)  0.16
Ni (0.8776, 0.0000, 0.7124)  0.16
Ni (0.1224, 0.5000, 0.7876)  0.16
Rh (0.2969, 0.5000, 0.4027)  0.21
Rh (0.7031, 0.5000, 0.5973)  0.21
Rh (0.7031, 0.0000, 0.0973)  0.21
Rh (0.2969, 0.0000, 0.9027)  0.21

Entry 2:
A geometry-optimized SbPNO2 structure, computed with GGA-PBE.

Calculated values
- E_form (uncorrected) (kcal/mol of atoms) = 8.7
- magnetization (μB per cell) = 0.0
- uncorrected energy (eV/atom) = -5.177

Cell: 3.9157 3.9157 4.1394 Å, 90.00 90.00 90.00°
Fractional coordinates of all 5 atoms:
N (0.0000, 0.0000, 0.5000)
O (0.5000, 0.0000, 0.0000)
O (0.0000, 0.5000, 0.0000)
P (0.5000, 0.5000, 0.5000)
Sb (0.0000, 0.0000, 0.0000)

Entry 3:
A geometry-optimized NaTiIn structure, computed with GGA-PBE.

Calculated values
- energy of formation (eV/atom) = 0.22
- magnetization (μB per cell) = 0.0
- uncorrected energy (eV/atom) = -3.762

Cell: 5.0557 5.0557 5.8375 Å, 90.00 90.00 120.00°
Fractional coordinates of all 6 atoms:
Ti (0.6667, 0.3333, 0.7500)
Ti (0.3333, 0.6667, 0.2500)
In (0.6667, 0.3333, 0.2500)
In (0.3333, 0.6667, 0.7500)
Na (0.0000, 0.0000, 0.0000)
Na (0.0000, 0.0000, 0.5000)

Entry 4:
A geometry-optimized TlB3Pt structure, computed with GGA-PBE.

Calculated values
- energy of formation (eV/atom) = 1.12
- magnetization (μB per cell) = 0.0
- uncorrected energy (eV/atom) = -4.572

Cell: 4.2528 4.2528 4.2528 Å, 90.00 90.00 90.00°
Fractional coordinates of all 5 atoms:
Pt (0.0000, 0.0000, 0.0000)
Tl (0.5000, 0.5000, 0.5000)
B (0.0000, 0.0000, 0.5000)
B (0.5000, 0.0000, 0.0000)
B (0.0000, 0.5000, 0.0000)

Entry 5:
A geometry-optimized LiZnCdGe structure, computed with GGA-PBE.

Calculated values
- energy of formation (eV/atom) = -0.04
- magnetization (μB per cell) = 0.0
- uncorrected energy (eV/atom) = -2.219

Cell: 4.6497 4.6497 4.6497 Å, 60.00 60.00 60.00°
Fractional coordinates of all 4 atoms:
Cd (0.7500, 0.7500, 0.7500)
Li (0.0000, 0.0000, 0.0000)
Zn (0.5000, 0.5000, 0.5000)
Ge (0.2500, 0.2500, 0.2500)

Entry 6:
A geometry-optimized RbSn2Pb3 structure, computed with GGA-PBE.

Calculated values
- energy of formation (eV/atom) = -0.03
- magnetization (μB per cell) = 0.0
- uncorrected energy (eV/atom) = -3.375

Cell: 6.3611 8.4679 8.4679 Å, 97.30 90.00 90.00°
Fractional coordinates of all 12 atoms:
Pb (0.7500, 0.0571, 0.0571)
Pb (0.2500, 0.9429, 0.9429)
Pb (0.2500, 0.5508, 0.9372)
Pb (0.7500, 0.4492, 0.0628)
Pb (0.2500, 0.9372, 0.5508)
Pb (0.7500, 0.0628, 0.4492)
Rb (0.7500, 0.6748, 0.6748)
Rb (0.2500, 0.3252, 0.3252)
Sn (0.5000, 0.7609, 0.2391)
Sn (0.0000, 0.7609, 0.2391)
Sn (0.5000, 0.2391, 0.7609)
Sn (0.0000, 0.2391, 0.7609)

Entry 7:
A geometry-optimized Nd2GaCo structure, computed with GGA-PBE.

Calculated values
- energy of formation (eV/atom) = -0.23
- magnetization (μB per cell) = 0.0
- uncorrected energy (eV/atom) = -5.152

Cell: 4.6479 8.5069 5.8716 Å, 111.25 113.32 90.00°
Fractional coordinates of all 8 atoms:
Nd (0.8311, 0.9155, 0.6620)
Nd (0.1689, 0.0845, 0.3380)
Nd (0.8310, 0.4155, 0.6620)
Nd (0.1690, 0.5845, 0.3380)
Ga (0.5006, 0.7500, 0.0000)
Ga (0.4994, 0.2500, 0.0000)
Co (0.0007, 0.7500, 0.0000)
Co (0.9993, 0.2500, 0.0000)

Entry 8:
A geometry-optimized Sc2CoPt structure, computed with GGA-PBE.

Calculated values
- energy of formation (eV/atom) = -0.81
- magnetization (μB per cell) = 0.5
- uncorrected energy (eV/atom) = -7.261

Cell: 3.2196 3.2198 7.1866 Å, 63.39 90.00 90.00°
Each line ends with the local moment (μB).
Fractional coordinates of all 4 atoms:
Sc (0.0000, 0.9892, 0.0110)  -0.09
Sc (0.0000, 0.5108, 0.4890)  -0.09
Co (0.5000, 0.2500, 0.2500)  0.80
Pt (0.5000, 0.7500, 0.7500)  0.04

Entry 9:
A geometry-optimized SrCa2TlPd structure, computed with GGA-PBE.

Calculated values
- energy of formation (eV/atom) = -0.31
- magnetization (μB per cell) = 0.0
- uncorrected energy (eV/atom) = -2.961

Cell: 5.5692 5.5692 5.4446 Å, 90.00 90.00 90.00°
Fractional coordinates of all 5 atoms:
Tl (0.0000, 0.0000, 0.5000)
Pd (0.0000, 0.0000, 0.0000)
Ca (0.0000, 0.5000, 0.0000)
Ca (0.5000, 0.0000, 0.0000)
Sr (0.5000, 0.5000, 0.5000)

Entry 10:
A geometry-optimized AsHOsPd structure, computed with GGA-PBE.

Calculated values
- magnetization (μB per cell) = 0.0
- uncorrected energy (eV/atom) = -6.004

Cell: 2.9551 4.5961 4.7218 Å, 78.75 90.02 70.40°
Fractional coordinates of all 4 atoms:
H (0.0696, 0.2916, 0.9372)
Os (0.1505, 0.1414, 0.3092)
Pd (0.6826, 0.0790, 0.7961)
As (0.8802, 0.7042, 0.3073)

Entry 11:
A geometry-optimized PmPb4S5 structure, computed with GGA-PBE.

Calculated values
- E_form (uncorrected) (kcal/mol of atoms) = -18.8
- magnetization (μB per cell) = 0.0
- uncorrected energy (eV/atom) = -4.837

Cell: 5.9624 7.3567 7.3567 Å, 80.55 66.09 66.09°
Fractional coordinates of all 10 atoms:
Pb (0.1986, 0.1988, 0.4059)
Pb (0.3974, 0.4059, 0.8012)
Pb (0.8033, 0.8012, 0.5941)
Pb (0.6045, 0.5941, 0.1988)
S (0.2813, 0.8192, 0.6202)
S (0.9014, 0.3798, 0.8192)
S (0.5011, 0.0000, 0.0000)
S (0.1005, 0.6202, 0.1808)
S (0.7207, 0.1808, 0.3798)
Pm (0.0016, 0.0000, 0.0000)

Entry 12:
A geometry-optimized Cs2CaIn2 structure, computed with GGA-PBE.

Calculated values
- energy of formation (eV/atom) = 0.04
- magnetization (μB per cell) = 0.0
- uncorrected energy (eV/atom) = -1.797

Cell: 8.5703 8.5703 6.6660 Å, 90.00 90.00 90.00°
Fractional coordinates of all 10 atoms:
Ca (0.5000, 0.5000, 0.0000)
Ca (0.0000, 0.0000, 0.0000)
In (0.8805, 0.6195, 0.0000)
In (0.6195, 0.1195, 0.0000)
In (0.3805, 0.8805, 0.0000)
In (0.1195, 0.3805, 0.0000)
Cs (0.6828, 0.8172, 0.5000)
Cs (0.8172, 0.3172, 0.5000)
Cs (0.3172, 0.1828, 0.5000)
Cs (0.1828, 0.6828, 0.5000)

The following calculated volume values (in A^3/atom) correspond, in order, to the records above: 19.24, 12.69, 21.54, 15.38, 17.77, 37.70, 24.49, 16.65, 33.77, 14.78, 26.97, 48.96.